Record 1
Computed, not measured: a relaxed structure of Li2Mg4In2Hg at the GGA-PBE level of DFT.

Values from the calculation:
The density of states at the Fermi level is 0.3252 states/eV per atom. The calculation puts the formation energy at -16 kJ/mol of atoms. The value obtained for the density is 4.68 g/cm³.

Cell and atoms, written as extended XYZ:
```
9
Lattice="5.2755 0.0000 0.0000 0.2933 5.3096 0.0000 1.4736 2.0839 6.8617" Properties=species:S:1:pos:R:3 pbc="T T T"
Li 1.4405 2.6589 0.7191
Li 5.6018 4.7346 6.1426
Mg 1.5028 2.3160 3.8047
Mg 2.9081 5.2500 1.5023
Mg 4.1342 2.1435 5.3594
Mg 5.5396 5.0776 3.0570
In 2.9065 4.8686 4.6409
In 4.1359 2.5250 2.2208
Hg 0.0000 0.0000 0.0000
```



Record 2
Computed, not measured: a relaxed structure of Li3MgHg3 at the GGA-PBE level of DFT.

Values from the calculation:
The density of states at the Fermi level is 0.2676 states/eV per atom. The calculation puts the formation energy at -24 kJ/mol of atoms. The value obtained for the density is 7.93 g/cm³.

Cell and atoms, written as extended XYZ:
```
7
Lattice="-1.5232 2.2806 9.7510 1.5232 -2.2806 9.7510 1.5232 2.2806 -9.7510" Properties=species:S:1:pos:R:3 pbc="T T T"
Li 0.0000 0.0000 0.0000
Li 0.0000 0.0000 5.9895
Li 0.0000 2.2806 1.4857
Mg 0.0000 2.2806 4.2133
Hg 1.5232 0.0000 2.7959
Hg 0.0000 0.0000 8.8312
Hg 0.0000 0.0000 16.5968
```



Record 3
Computed, not measured: a relaxed structure of ZrTa3Co at the GGA-PBE level of DFT.

Values from the calculation:
The density of states at the Fermi level is 1.8756 states/eV per atom. The calculation puts the formation energy at 55 kJ/mol of atoms. The value obtained for the density is 11.57 g/cm³.

Cell and atoms, written as extended XYZ:
```
5
Lattice="4.6326 0.0000 0.0000 0.0000 4.6326 0.0000 0.0000 0.0000 4.6326" Properties=species:S:1:pos:R:3 pbc="T T T"
Zr 0.0000 0.0000 0.0000
Ta 0.0000 2.3163 2.3163
Ta 2.3163 0.0000 2.3163
Ta 2.3163 2.3163 0.0000
Co 2.3163 2.3163 2.3163
```